(1)
Computed, not measured: Ce6YSe12 after structural relaxation at the GGA-PBE level of DFT.

The uncorrected formation energy is -1.73 eV per atom. The value obtained for the calculated density is 5.52 g/cm3. As for the spin magnetization: 3.10 μB/f.u. The density of states at the Fermi level comes out at 1.482 states/eV per atom. The calculated total energy comes out at -6.147 eV/atom.

It has space group R-3 (No. 148, hexagonal axes), with a = 12.8568 Å, b = 12.8568 Å, c = 11.8330 Å, α = 90.00°, β = 90.00° and γ = 120.00°. The distinct sites, in fractional coordinates, are Ce at (0.0508, 0.2693, 0.1464), Y at (0.0000, 0.0000, 0.5000), Se at (0.0352, 0.2180, 0.8952) and Se at (0.0476, 0.2114, 0.3858).



(2)
Computed, not measured: Ba3Bi after structural relaxation at the GGA-PBE level of DFT.

The distance to the lowest polymorph of the same formula comes out at 0.048 eV/atom. The value obtained for the calculated density is 5.78 g/cm3. As for the spin magnetization: 0.00 μB/f.u. The density of states at the Fermi level comes out at 1.041 states/eV per atom. The calculation puts the formation energy from the elements at -0.445 eV per atom. The calculated total energy comes out at -2.857 eV/atom.

It has space group P6_3/mmc (No. 194), with a = 8.0337 Å, b = 8.0337 Å, c = 6.3815 Å, α = 90.00°, β = 90.00° and γ = 120.00°. The distinct sites, in fractional coordinates, are Ba at (0.1769, 0.3538, 0.2500) and Bi at (0.3333, 0.6667, 0.7500).



(3)
Computed, not measured: MgPtPb after structural relaxation at the GGA-PBE level of DFT.

The value obtained for the calculated density is 11.00 g/cm3. As for the spin magnetization: 0.00 μB/f.u. The density of states at the Fermi level comes out at 0.565 states/eV per atom. The calculation puts the formation energy from the elements at -0.230 eV per atom. The calculated total energy comes out at -4.011 eV/atom.

It has space group P3m1 (No. 156), with a = 4.5723 Å, b = 4.5723 Å, c = 3.5559 Å, α = 90.00°, β = 90.00° and γ = 120.00°. The distinct sites, in fractional coordinates, are Mg at (0.0000, 0.0000, 0.0000), Pt at (0.3333, 0.6667, 0.9945) and Pb at (0.6667, 0.3333, 0.4990).



(4)
Computed, not measured: Pr4Y5Th after structural relaxation at the GGA-PBE level of DFT.

The distance to the lowest polymorph of the same formula comes out at 0.094 eV/atom. The value obtained for the calculated density is 5.91 g/cm3. As for the spin magnetization: 0.00 μB/f.u. The density of states at the Fermi level comes out at 1.508 states/eV per atom. The calculation puts the formation energy from the elements at 0.186 eV per atom. The calculated total energy comes out at -5.700 eV/atom.

It has space group C2/m (No. 12), with a = 11.766 Å, b = 5.585 Å, c = 10.613 Å, α = 90.00°, β = 90.30° and γ = 90.00°. The distinct sites, in fractional coordinates, are Pr at (0.057, 0.000, 0.251), Pr at (0.162, 0.500, 0.752), Y at (0.000, 0.500, 0.000), Y at (0.195, 0.000, 0.567), Y at (0.196, 0.000, 0.931) and Th at (0.000, 0.500, 0.500).



(5)
Computed, not measured: LuZrCoPt after structural relaxation at the GGA-PBE level of DFT.

The value obtained for the calculated density is 11.79 g/cm3. As for the spin magnetization: 0.69 μB/f.u. The density of states at the Fermi level comes out at 0.780 states/eV per atom. The calculation puts the formation energy from the elements at -0.666 eV per atom. The calculated total energy comes out at -7.220 eV/atom.

It has space group F-43m (No. 216), with a = 6.643 Å, b = 6.643 Å, c = 6.643 Å, α = 90.00°, β = 90.00° and γ = 90.00°. The distinct sites, in fractional coordinates, are Lu at (0.000, 0.000, 0.000), Zr at (0.000, 0.000, 0.500), Co at (0.250, 0.250, 0.250) and Pt at (0.250, 0.250, 0.750).



(6)
Computed, not measured: CePmZnAu after structural relaxation at the GGA-PBE level of DFT.

The distance to the lowest polymorph of the same formula comes out at 0.000 eV/atom. The value obtained for the calculated density is 9.18 g/cm3. As for the spin magnetization: 1.03 μB/f.u. The density of states at the Fermi level comes out at 2.125 states/eV per atom. The calculation puts the formation energy from the elements at -0.460 eV per atom. The calculated total energy comes out at -4.269 eV/atom.

It has space group P4mm (No. 99), with a = 3.693 Å, b = 3.693 Å, c = 7.259 Å, α = 90.00°, β = 90.00° and γ = 90.00°. The distinct sites, in fractional coordinates, are Ce at (0.000, 0.000, 0.000), Pm at (0.000, 0.000, 0.494), Zn at (0.500, 0.500, 0.248) and Au at (0.500, 0.500, 0.745).



(7)
Computed, not measured: MnTlRh2 after structural relaxation at the GGA-PBE level of DFT.

The value obtained for the calculated density is 11.43 g/cm3. As for the spin magnetization: 3.85 μB/f.u. The density of states at the Fermi level comes out at 1.330 states/eV per atom. The calculation puts the formation energy from the elements at 0.360 eV per atom. The calculated total energy comes out at -6.200 eV/atom.

It has space group R3m (No. 160, hexagonal axes), with a = 3.0095 Å, b = 3.0095 Å, c = 25.8538 Å, α = 90.00°, β = 90.00° and γ = 120.00°. The distinct sites, in fractional coordinates, are Mn at (0.0000, 0.0000, 0.0000), Tl at (0.0000, 0.0000, 0.7604), Rh at (0.0000, 0.0000, 0.2626) and Rh at (0.0000, 0.0000, 0.5134).



(8)
Computed, not measured: Cd2In7Ga2 after structural relaxation at the GGA-PBE level of DFT.

The distance to the lowest polymorph of the same formula comes out at 0.000 eV/atom. The value obtained for the calculated density is 6.92 g/cm3. As for the spin magnetization: 0.00 μB/f.u. The density of states at the Fermi level comes out at 0.380 states/eV per atom. The calculation puts the formation energy from the elements at 0.049 eV per atom. The calculated total energy comes out at -2.410 eV/atom.

It has space group C2/m (No. 12), with a = 8.205 Å, b = 8.616 Å, c = 8.249 Å, α = 90.00°, β = 105.99° and γ = 90.00°. The distinct sites, in fractional coordinates, are Cd at (0.000, 0.182, 0.000), In at (0.000, 0.500, 0.500), In at (0.144, 0.500, 0.906), In at (0.216, 0.189, 0.687) and Ga at (0.101, 0.000, 0.337).